DFT (PBE) results for crystalline Sr2Zr2Sc at its relaxed geometry.

Properties
As for the formation energy: 0.832 eV/atom. Its final energy is -45.265 eV/cell.

Unit cell a=9.334 b=9.334 c=3.498 alpha=90.00 beta=90.00 gamma=90.00
Element x y z (fractional)
Sr  0.131  0.369  0.000
Sr  0.369  0.869  0.000
Sr  0.631  0.131  0.000
Sr  0.869  0.631  0.000
Zr  0.172  0.672  0.500
Zr  0.328  0.172  0.500
Zr  0.672  0.828  0.500
Zr  0.828  0.328  0.500
Sc  0.000  0.000  0.000
Sc  0.500  0.500  0.000